Record 1
Density functional theory data (GGA-PBE) for crystalline La2NdDy3Y6 at its relaxed geometry. Values from VASP.

Summary:
N(E_F) ... 1.41 states/eV per atom
Symmetry ... No. 12
Crystal system ... monoclinic
DFT total energy ... -5.58 eV/atom

Geometry as Quantum ESPRESSO input:
```
&SYSTEM
  ibrav = 0, nat = 12, ntyp = 4
/
ATOMIC_SPECIES
La 138.91 La.upf
Nd 144.24 Nd.upf
Dy 162.50 Dy.upf
Y 88.91 Y.upf
CELL_PARAMETERS angstrom
-3.3076 -5.2189 0.9372
5.2781 0.9712 3.2023
-6.7554 6.7917 7.0453
ATOMIC_POSITIONS angstrom
La 2.4145 -1.0934 2.4468
La -0.4441 -3.1544 1.6927
Nd 0.0000 0.0000 0.0000
Dy 0.4707 3.3362 6.3477
Dy -5.2556 -0.7923 4.8370
Dy -2.3925 1.2720 5.5924
Y -4.9886 0.8520 7.9716
Y -0.2391 -1.4650 4.9098
Y 0.2037 1.6920 3.2132
Y -2.1306 2.9125 8.7256
Y -4.5458 4.0090 6.2750
Y -2.6543 -0.3685 2.4592
```

Record 2
Density functional theory data (GGA-PBE) for crystalline YCo4P at its relaxed geometry. Values from VASP.

Summary:
N(E_F) ... 1.10 states/eV per atom
Symmetry ... No. 216
Crystal system ... cubic
DFT total energy ... -6.74 eV/atom

Geometry as Quantum ESPRESSO input:
```
&SYSTEM
  ibrav = 0, nat = 6, ntyp = 3
/
ATOMIC_SPECIES
Y 88.91 Y.upf
Co 58.93 Co.upf
P 30.97 P.upf
CELL_PARAMETERS angstrom
0.0000 3.4670 3.4670
3.4670 0.0000 3.4670
3.4670 3.4670 0.0000
ATOMIC_POSITIONS angstrom
Y 0.0000 0.0000 0.0000
Co 2.6050 2.6050 4.3291
Co 2.6050 4.3291 2.6050
Co 4.3291 4.3291 4.3291
Co 4.3291 2.6050 2.6050
P 1.7335 1.7335 1.7335
```

Record 3
Density functional theory data (GGA-PBE) for crystalline Re2OsRh at its relaxed geometry. Values from VASP.

Summary:
N(E_F) ... 0.64 states/eV per atom
Symmetry ... No. 2
Crystal system ... triclinic
DFT total energy ... -10.98 eV/atom

Geometry as Quantum ESPRESSO input:
```
&SYSTEM
  ibrav = 0, nat = 16, ntyp = 3
/
ATOMIC_SPECIES
Re 186.21 Re.upf
Os 190.23 Os.upf
Rh 102.91 Rh.upf
CELL_PARAMETERS angstrom
-1.4931 -3.3786 -4.1240
1.4786 -5.3427 0.0848
-8.1373 -3.6765 2.2324
ATOMIC_POSITIONS angstrom
Re -0.5780 -7.4146 -2.1519
Re -7.5738 -4.9832 0.3451
Re -3.8916 -4.0091 -1.8054
Re -4.2602 -8.3888 -0.0014
Re -7.5732 -9.3212 -1.7074
Re -0.5786 -3.0766 -0.0994
Re -5.7263 -7.4106 -2.0938
Re -2.4255 -4.9872 0.2871
Os -3.1392 -2.3480 0.2306
Os -5.0126 -10.0498 -2.0374
Os 0.1622 -5.6915 -0.0575
Os -8.3140 -6.7063 -1.7492
Rh -5.0111 -5.7390 -0.0329
Rh -3.1407 -6.6588 -1.7738
Rh -6.8594 -7.6651 0.3754
Rh -1.2924 -4.7327 -2.1822
```

Record 4
Density functional theory data (GGA-PBE) for crystalline SmCrFe4 at its relaxed geometry. Values from VASP.

Summary:
N(E_F) ... 1.79 states/eV per atom
Symmetry ... No. 216
Crystal system ... cubic
DFT total energy ... -7.77 eV/atom

Geometry as Quantum ESPRESSO input:
```
&SYSTEM
  ibrav = 0, nat = 6, ntyp = 3
/
ATOMIC_SPECIES
Cr 52.00 Cr.upf
Fe 55.84 Fe.upf
Sm 150.36 Sm.upf
CELL_PARAMETERS angstrom
-4.4033 -0.1399 -2.2938
-3.5135 -3.1456 1.5590
-4.0499 1.7377 2.2909
ATOMIC_POSITIONS angstrom
Cr -2.9917 -0.3869 0.3890
Fe -5.4609 -1.8227 -0.1608
Fe -5.7257 0.5879 0.2005
Fe -7.4602 -0.9649 0.9701
Fe -5.2865 -0.8958 2.1025
Sm 0.0000 0.0000 0.0000
```